Below is a relaxed VC2O6 crystal, with properties calculated at the PBE+U level.

POSCAR file:
```
VC2O6
1.0
-3.728 -5.363 1.844
2.369 -2.044 4.848
-4.227 2.030 3.361
C O V
4 12 2
Direct
0.245 0.628 0.921
0.755 0.372 0.079
0.745 0.921 0.628
0.255 0.079 0.372
0.265 0.098 0.582
0.735 0.902 0.418
0.406 0.710 0.818
0.906 0.818 0.710
0.765 0.582 0.097
0.235 0.418 0.903
0.914 0.198 0.946
0.086 0.802 0.054
0.594 0.290 0.182
0.586 0.054 0.802
0.414 0.946 0.198
0.094 0.182 0.290
0.750 0.933 0.067
0.250 0.067 0.933
```

- Crystal system: monoclinic
- DOS(E_F): 0.00 states/eV/atom
- VASP energy: -7.59 eV per atom